[1]
Entry from Alexandria: an optimized crystal structure of La2PrTh6 (PBE).

Unit cell a=3.5664 b=3.5664 c=27.5355 alpha=90.00 beta=90.00 gamma=120.00
Sites, in units of the cell vectors:
La: 0.0000 0.0000 0.1708
La: 0.0000 0.0000 0.8292
Pr: 0.3333 0.6667 0.5000
Th: 0.0000 0.0000 0.3886
Th: 0.0000 0.0000 0.6114
Th: 0.3333 0.6667 0.0598
Th: 0.3333 0.6667 0.2829
Th: 0.3333 0.6667 0.7171
Th: 0.3333 0.6667 0.9402

Computed properties:
**Space group**: P-6m2 (187)
**Calculated formation energy**: 0.1077 eV/atom
**Magnetic moment**: 0.0 μB per cell
**Total energy**: -58.18 eV/cell
**Density of states at the Fermi level**: 14.72 states/eV/f.u.

=====

[2]
Entry from Alexandria: an optimized crystal structure of La7Pr12Th (PBE).

Unit cell a=10.0462 b=10.0462 c=10.0462 alpha=109.47 beta=109.47 gamma=109.47
Sites, in units of the cell vectors:
La: 0.0000 0.0000 0.5000
La: 0.0000 0.5000 0.0000
La: 0.0000 0.5000 0.5000
La: 0.5000 0.0000 0.0000
La: 0.5000 0.0000 0.5000
La: 0.5000 0.5000 0.0000
La: 0.5000 0.5000 0.5000
Pr: 0.0658 0.8030 0.2627
Pr: 0.1970 0.2627 0.4597
Pr: 0.1970 0.7373 0.9342
Pr: 0.2627 0.0658 0.8030
Pr: 0.2627 0.4597 0.1970
Pr: 0.4597 0.1970 0.2627
Pr: 0.5403 0.8030 0.7373
Pr: 0.7373 0.5403 0.8030
Pr: 0.7373 0.9342 0.1970
Pr: 0.8030 0.2627 0.0658
Pr: 0.8030 0.7373 0.5403
Pr: 0.9342 0.1970 0.7373
Th: 0.0000 0.0000 0.0000

Computed properties:
**Space group**: Im-3 (204)
**ΔE to the lowest computed polymorph**: 380.5 meV/atom
**Calculated formation energy**: 0.5722 eV/atom
**Magnetic moment**: 0.0 μB per cell
**Total energy**: -87.82 eV/cell
**Density of states at the Fermi level**: 34.36 states/eV/f.u.

=====

[3]
Entry from Alexandria: an optimized crystal structure of LaPr3Th (PBE).

Unit cell a=6.4138 b=6.4138 c=11.2573 alpha=90.00 beta=90.00 gamma=128.29
Sites, in units of the cell vectors:
La: 0.1608 0.8392 0.0000
La: 0.8392 0.1608 0.0000
Pr: 0.1511 0.8489 0.3098
Pr: 0.1511 0.8489 0.6902
Pr: 0.5000 0.5000 0.1730
Pr: 0.5000 0.5000 0.8270
Pr: 0.8489 0.1511 0.3098
Pr: 0.8489 0.1511 0.6902
Th: 0.3639 0.6361 0.5000
Th: 0.6361 0.3639 0.5000

Computed properties:
**Space group**: Cmmm (65)
**ΔE to the lowest computed polymorph**: 71.2 meV/atom
**Calculated formation energy**: 0.1633 eV/atom
**Magnetic moment**: 0.0 μB per cell
**Total energy**: -51.74 eV/cell
**Density of states at the Fermi level**: 7.00 states/eV/f.u.

=====

[4]
Entry from Alexandria: an optimized crystal structure of LaPr2Th4 (PBE).

Unit cell a=18.5231 b=18.5231 c=3.6008 alpha=90.00 beta=90.00 gamma=168.83
Sites, in units of the cell vectors:
La: 0.0000 0.0000 0.0000
Pr: 0.2943 0.7057 0.5000
Pr: 0.7057 0.2943 0.5000
Th: 0.1374 0.8626 0.0000
Th: 0.4279 0.5721 0.5000
Th: 0.5721 0.4279 0.5000
Th: 0.8626 0.1374 0.0000

Computed properties:
**Space group**: Cmmm (65)
**Calculated formation energy**: 0.0744 eV/atom
**Magnetic moment**: 0.0 μB per cell
**Total energy**: -43.65 eV/cell
**Density of states at the Fermi level**: 11.94 states/eV/f.u.

=====

[5]
Entry from Alexandria: an optimized crystal structure of La6PrTh (PBE).

Unit cell a=6.7063 b=6.9275 c=6.9927 alpha=60.32 beta=88.45 gamma=86.96
Sites, in units of the cell vectors:
La: 0.2241 0.4592 0.9996
La: 0.2514 0.9037 0.5460
La: 0.2521 0.4494 0.4537
La: 0.7479 0.5506 0.5463
La: 0.7486 0.0963 0.4540
La: 0.7759 0.5408 0.0004
Pr: 0.5000 0.0000 0.0000
Th: 0.0000 0.0000 0.0000

Computed properties:
**Space group**: P-1 (2)
**ΔE to the lowest computed polymorph**: 120.2 meV/atom
**Calculated formation energy**: 0.1397 eV/atom
**Magnetic moment**: 0.0 μB per cell
**Total energy**: -40.65 eV/cell
**Density of states at the Fermi level**: 12.83 states/eV/f.u.

=====

[6]
Entry from Alexandria: an optimized crystal structure of La4Pr4Th (PBE).

Unit cell a=8.2688 b=8.2688 c=8.2688 alpha=95.79 beta=95.79 gamma=142.97
Sites, in units of the cell vectors:
La: 0.1596 0.1596 0.3191
La: 0.1596 0.8404 0.0000
La: 0.8404 0.1596 0.0000
La: 0.8404 0.8404 0.6809
Pr: 0.1717 0.5000 0.6717
Pr: 0.5000 0.1717 0.6717
Pr: 0.5000 0.8283 0.3283
Pr: 0.8283 0.5000 0.3283
Th: 0.5000 0.5000 0.0000

Computed properties:
**Space group**: I4/mmm (139)
**Calculated formation energy**: 0.0216 eV/atom
**Magnetic moment**: 0.0 μB per cell
**Total energy**: -46.05 eV/cell
**Density of states at the Fermi level**: 15.05 states/eV/f.u.